Material: OsRhW2
Method: DFT, PBE
State: relaxed

Computed properties:
Density of states at the Fermi level (states/eV per cell): 5.726
Uncorrected energy (eV for the cell shown): -89.43
Spin magnetization (μB/cell): 0.00
Energy of formation (eV per atom): -0.057

a b c (Å): 3.9567 3.9001 7.8501
angles (deg): 90.00 90.00 90.00
Space group Pmma (No. 51)
Inequivalent atoms, fractional coordinates:
Os1 0.2500 0.0000 0.1272 x2
Rh1 0.2500 0.0000 0.6228 x2
W1 0.2500 0.5000 0.3725 x2
W2 0.2500 0.5000 0.8758 x2